# PBE HfTe4Au2, relaxed
data_HfTe4Au2
_chemical_formula_sum 'Hf2 Te8 Au4'
_symmetry_space_group_name_H-M 'P 1'
_symmetry_Int_Tables_number 1
_cell_length_a 8.4733
_cell_length_b 8.4922
_cell_length_c 8.3444
_cell_angle_alpha 122.42
_cell_angle_beta 112.15
_cell_angle_gamma 95.98
loop_
_symmetry_equiv_pos_as_xyz
'x,y,z'
loop_
_atom_site_label
_atom_site_fract_x
_atom_site_fract_y
_atom_site_fract_z
Hf1 0.1311 0.6226 0.5218
Hf2 0.1504 0.1418 0.0209
Te1 0.8957 0.1943 0.1933
Te2 0.3196 0.5780 0.2989
Te3 0.9672 0.7299 0.7940
Te4 0.8911 0.2029 0.7221
Te5 0.4520 0.1386 0.3466
Te6 0.2493 0.0483 0.6922
Te7 0.4587 0.6449 0.8484
Te8 0.7687 0.5795 0.2216
Au1 0.6741 0.4215 0.7971
Au2 0.6246 0.8718 0.2979
Au3 0.5362 0.2358 0.1201
Au4 0.1311 0.3400 0.6252
# Formation energy without anion corrections: -0.3014 eV/atom
# Total magnetization: 0.00 μB per atom



# PBE MgPb2W, relaxed
data_MgPb2W
_chemical_formula_sum 'Mg1 Pb2 W1'
_symmetry_space_group_name_H-M 'P 1'
_symmetry_Int_Tables_number 1
_cell_length_a 11.2915
_cell_length_b 11.2915
_cell_length_c 11.2915
_cell_angle_alpha 16.27
_cell_angle_beta 16.27
_cell_angle_gamma 16.27
loop_
_symmetry_equiv_pos_as_xyz
'x,y,z'
loop_
_atom_site_label
_atom_site_fract_x
_atom_site_fract_y
_atom_site_fract_z
Mg1 0.7500 0.7500 0.7500
Pb1 0.9888 0.9888 0.9888
Pb2 0.5112 0.5112 0.5112
W1 0.2500 0.2500 0.2500
# Total magnetization: 0.00 μB per atom
# ΔE_f: 641 meV/atom



# PBE KSiAgN2, relaxed
data_KSiAgN2
_chemical_formula_sum 'K1 Si1 Ag1 N2'
_symmetry_space_group_name_H-M 'P 1'
_symmetry_Int_Tables_number 1
_cell_length_a 4.3647
_cell_length_b 5.4673
_cell_length_c 4.3647
_cell_angle_alpha 90.00
_cell_angle_beta 90.00
_cell_angle_gamma 90.00
loop_
_symmetry_equiv_pos_as_xyz
'x,y,z'
loop_
_atom_site_label
_atom_site_fract_x
_atom_site_fract_y
_atom_site_fract_z
K1 0.0000 0.5000 0.0000
Si1 0.5000 0.5000 0.5000
Ag1 0.0000 0.0000 0.0000
N1 0.0000 0.0000 0.5000
N2 0.5000 0.0000 0.0000
# Formation energy without anion corrections: 2.0593 eV/atom
# Total magnetization: 0.24 μB per atom



Q: Which formula does entry 1 have?
A: HfTe4Au2